*1*
First-principles (PBE-GGA) data for crystalline CuPtPb2 at its relaxed geometry, as listed in Alexandria via LeMat-Bulk.

Unit cell a=3.4828 b=3.4893 c=7.0898 alpha=90.00 beta=92.41 gamma=90.00
Last column: nearest neighbours and their distance in Å.
Space group P2/m (No. 10)
One atom of each set of equivalent atoms:
Cu: 0.0000 0.0000 0.0000 [1 per cell]  8 Pb 2.99-3.12
Pt: 0.0000 0.0000 0.5000 [1 per cell]  8 Pb 2.99-3.03
Pb: 0.4889 0.5000 0.2554 [2 per cell]  4 Pt 2.99-3.03, 4 Cu 2.99-3.12

=====

*2*
First-principles (PBE-GGA) data for crystalline CuPtPb2 at its relaxed geometry, as listed in Alexandria via LeMat-Bulk.

Unit cell a=3.8405 b=4.2114 c=5.6502 alpha=90.00 beta=109.36 gamma=90.00
Last column: nearest neighbours and their distance in Å.
Space group Pm (No. 6)
One atom of each set of equivalent atoms:
Cu: 0.0000 0.0000 0.0000 [1 per cell]  2 Pt 2.65, 5 Pb 2.91-2.93
Pt: 0.8516 0.5000 0.6996 [1 per cell]  2 Cu 2.65, 2 Pb 2.96
Pb: 0.2751 0.0000 0.5462 [1 per cell]  3 Cu 2.91-3.10, 4 Pt 2.96-2.97
Pb: 0.5623 0.5000 0.1272 [1 per cell]  4 Cu 2.93, 3 Pt 2.98-3.05

=====

*3*
First-principles (PBE-GGA) data for crystalline CuPtPb2 at its relaxed geometry, as listed in Alexandria via LeMat-Bulk.

Unit cell a=3.5770 b=4.0080 c=13.3475 alpha=90.00 beta=90.00 gamma=90.00
Last column: nearest neighbours and their distance in Å.
Space group Imm2 (No. 44)
One atom of each set of equivalent atoms:
Cu: 0.0000 0.0000 0.0000 [2 per cell]  2 Pt 2.56, 4 Pb 2.83
Pt: 0.0000 0.5000 0.8804 [2 per cell]  2 Cu 2.56
Pb: 0.0000 0.0000 0.5663 [2 per cell]  4 Cu 2.83, 2 Pt 3.06
Pb: 0.0000 0.5000 0.2970 [2 per cell]  4 Pt 2.91, 2 Cu 3.25

=====

*4*
First-principles (PBE-GGA) data for crystalline CuPtPb2 at its relaxed geometry, as listed in Alexandria via LeMat-Bulk.

Unit cell a=7.9941 b=3.8844 c=6.4446 alpha=90.00 beta=106.10 gamma=90.00
Last column: nearest neighbours and their distance in Å.
Space group Cm (No. 8)
One atom of each set of equivalent atoms:
Cu: 0.0000 0.0000 0.0000 [2 per cell]  3 Pt 2.55-2.57, 3 Pb 2.84-2.85
Pt: 0.2133 0.5000 0.1062 [2 per cell]  3 Cu 2.55-2.57
Pb: 0.2565 0.0000 0.7710 [2 per cell]  3 Cu 2.84-2.85, 2 Pt 3.00
Pb: 0.4558 0.0000 0.3499 [2 per cell]  3 Pt 2.88-2.91, 2 Cu 3.07

=====

Stability order, top to bottom: *2*, *4*, *3*, *1*

=====

*1*
First-principles (PBE-GGA) data for crystalline CuPtPb2 at its relaxed geometry, as listed in Alexandria via LeMat-Bulk.

Unit cell a=6.9938 b=6.9938 c=6.9938 alpha=90.00 beta=90.00 gamma=90.00
Last column: nearest neighbours and their distance in Å.
Space group Fm-3m (No. 225)
One atom of each set of equivalent atoms:
Cu: 0.0000 0.0000 0.0000 [4 per cell]  8 Pb 3.03
Pt: 0.0000 0.0000 0.5000 [4 per cell]  8 Pb 3.03
Pb: 0.2500 0.2500 0.2500 [8 per cell]  4 Cu 3.03, 4 Pt 3.03

=====

*2*
First-principles (PBE-GGA) data for crystalline CuPtPb2 at its relaxed geometry, as listed in Alexandria via LeMat-Bulk.

Unit cell a=4.1640 b=4.1640 c=9.9291 alpha=90.00 beta=90.00 gamma=90.00
Last column: nearest neighbours and their distance in Å.
Space group I-4m2 (No. 119)
One atom of each set of equivalent atoms:
Cu: 0.0000 0.0000 0.0000 [2 per cell]  8 Pb 2.94-3.24, 4 Pt 3.24
Pt: 0.0000 0.5000 0.2500 [2 per cell]  8 Pb 2.94-3.24, 4 Cu 3.24
Pb: 0.0000 0.0000 0.5000 [2 per cell]  4 Cu 2.94, 4 Pb 3.24, 4 Pt 3.24
Pb: 0.0000 0.5000 0.7500 [2 per cell]  4 Pt 2.94, 4 Pb 3.24, 4 Cu 3.24

=====

Stability order, top to bottom: *1*, *2*

=====

*1*
First-principles (PBE-GGA) data for crystalline Cu2Pt2Pb at its relaxed geometry, as listed in Alexandria via LeMat-Bulk.

Unit cell a=3.8023 b=3.8023 c=12.3000 alpha=90.00 beta=90.00 gamma=90.00
Last column: nearest neighbours and their distance in Å.
Space group I4/mmm (No. 139)
One atom of each set of equivalent atoms:
Cu: 0.0000 0.5000 0.2500 [4 per cell]  4 Pt 2.56, 4 Cu 2.69
Pt: 0.0000 0.0000 0.1102 [4 per cell]  4 Cu 2.56, 1 Pt 2.71
Pb: 0.0000 0.0000 0.5000 [2 per cell]  8 Pt 3.01

=====

*2*
First-principles (PBE-GGA) data for crystalline Cu2Pt2Pb at its relaxed geometry, as listed in Alexandria via LeMat-Bulk.

Unit cell a=7.4921 b=7.4921 c=2.9437 alpha=90.00 beta=90.00 gamma=90.00
Last column: nearest neighbours and their distance in Å.
Space group P4/mbm (No. 127)
One atom of each set of equivalent atoms:
Cu: 0.1217 0.3783 0.0000 [4 per cell]  1 Cu 2.58, 6 Pt 2.65-2.66
Pt: 0.1705 0.6705 0.5000 [4 per cell]  6 Cu 2.65-2.66, 2 Pt 2.94
Pb: 0.0000 0.0000 0.0000 [2 per cell]  2 Pb 2.94, 4 Cu 2.98, 8 Pt 3.15

=====

Stability order, top to bottom: *2*, *1*

=====

*1*
First-principles (PBE-GGA) data for crystalline CuPtPb at its relaxed geometry, as listed in Alexandria via LeMat-Bulk.

Unit cell a=6.2945 b=6.2945 c=6.2945 alpha=90.00 beta=90.00 gamma=90.00
Last column: nearest neighbours and their distance in Å.
Space group F-43m (No. 216)
One atom of each set of equivalent atoms:
Cu: 0.0000 0.0000 0.0000 [4 per cell]  4 Pt 2.73
Pt: 0.2500 0.2500 0.7500 [4 per cell]  4 Pb 2.73, 4 Cu 2.73
Pb: 0.0000 0.0000 0.5000 [4 per cell]  4 Pt 2.73

=====

*2*
First-principles (PBE-GGA) data for crystalline CuPtPb at its relaxed geometry, as listed in Alexandria via LeMat-Bulk.

Unit cell a=4.3743 b=4.3743 c=3.5544 alpha=90.00 beta=90.00 gamma=120.00
Last column: nearest neighbours and their distance in Å.
Space group P3m1 (No. 156)
One atom of each set of equivalent atoms:
Cu: 0.0000 0.0000 0.0000 [1 per cell]  3 Pt 2.53
Pt: 0.6667 0.3333 0.9827 [1 per cell]  3 Cu 2.53
Pb: 0.3333 0.6667 0.4895 [1 per cell]  6 Cu 3.07-3.11, 6 Pt 3.07-3.10

=====

*3*
First-principles (PBE-GGA) data for crystalline CuPtPb at its relaxed geometry, as listed in Alexandria via LeMat-Bulk.

Unit cell a=3.5062 b=3.5062 c=8.8964 alpha=90.00 beta=90.00 gamma=90.00
Last column: nearest neighbours and their distance in Å.
Space group I4mm (No. 107)
One atom of each set of equivalent atoms:
Cu: 0.0000 0.0000 0.0000 [2 per cell]  4 Pt 2.74, 5 Pb 2.77-3.00
Pt: 0.0000 0.0000 0.6299 [2 per cell]  4 Cu 2.74, 5 Pb 2.84-2.96
Pb: 0.0000 0.0000 0.3110 [2 per cell]  5 Cu 2.77-3.00, 5 Pt 2.84-2.96

=====

Stability order, top to bottom: *1*, *3*, *2*